# 1
Material: CuNi2H4
Method: DFT, GGA-PBE
State: relaxed

As for the symmetry: Cmcm (63). The value obtained for the density of states at the Fermi level is 3.4 states/eV per cell. Its energy is -57.6 eV for the cell shown. For the excess energy over the best structure of this formula in the dataset, the calculation gives 0.012 eV per atom.

Cell: 4.609 4.609 7.813 Å, 90.00 90.00 146.70°
Element x y z (fractional)
Cu  0.085  0.915  0.750
Cu  0.915  0.085  0.250
Ni  0.364  0.636  0.559
Ni  0.364  0.636  0.941
Ni  0.636  0.364  0.059
Ni  0.636  0.364  0.441
H  0.000  0.000  0.000
H  0.000  0.000  0.500
H  0.250  0.750  0.112
H  0.250  0.750  0.388
H  0.446  0.554  0.750
H  0.554  0.446  0.250
H  0.750  0.250  0.612
H  0.750  0.250  0.888

=====

# 2
Material: Zr2Ti2Co15
Method: DFT, GGA-PBE
State: relaxed

As for the symmetry: R-3m (166). The value obtained for the density of states at the Fermi level is 21.1 states/eV per cell. The formation enthalpy at 0 K is -0.173 eV per atom. Its energy is -142.8 eV for the cell shown.

Cell: 6.250 6.250 6.250 Å, 82.46 82.46 82.46°
Element x y z (fractional)
Zr  0.146  0.146  0.146
Zr  0.854  0.854  0.854
Ti  0.393  0.393  0.393
Ti  0.607  0.607  0.607
Co  0.000  0.500  0.500
Co  0.148  0.148  0.657
Co  0.148  0.657  0.148
Co  0.203  0.500  0.797
Co  0.203  0.797  0.500
Co  0.343  0.852  0.852
Co  0.500  0.000  0.500
Co  0.500  0.203  0.797
Co  0.500  0.500  0.000
Co  0.500  0.797  0.203
Co  0.657  0.148  0.148
Co  0.797  0.203  0.500
Co  0.797  0.500  0.203
Co  0.852  0.343  0.852
Co  0.852  0.852  0.343

=====

# 3
Material: TmTiGaAg
Method: DFT, GGA-PBE
State: relaxed

As for the symmetry: F-43m (216). The value obtained for the density of states at the Fermi level is 2.2 states/eV per cell. The formation enthalpy at 0 K is -0.245 eV per atom. Its energy is -19.2 eV for the cell shown.

Cell: 4.816 4.816 4.816 Å, 60.00 60.00 60.00°
Element x y z (fractional)
Tm  0.000  0.000  0.000
Ti  0.500  0.500  0.500
Ga  0.250  0.250  0.250
Ag  0.750  0.750  0.750

=====

# 4
Material: VIrOs2
Method: DFT, GGA-PBE
State: relaxed

As for the symmetry: I-42d (122). The value obtained for the density of states at the Fermi level is 9.1 states/eV per cell. The formation enthalpy at 0 K is 0.542 eV per atom. Its energy is -76.5 eV for the cell shown. For the excess energy over the best structure of this formula in the dataset, the calculation gives 0.760 eV per atom.

Cell: 9.195 9.195 9.195 Å, 156.30 156.30 33.77°
Element x y z (fractional)
V  0.000  0.000  0.000
V  0.750  0.250  0.500
Ir  0.250  0.750  0.500
Ir  0.500  0.500  0.000
Os  0.098  0.625  0.973
Os  0.375  0.348  0.473
Os  0.652  0.125  0.027
Os  0.875  0.902  0.527

=====

# 5
Material: Ta2Ga3Co4
Method: DFT, GGA-PBE
State: relaxed

As for the symmetry: Cmce (64). The value obtained for the density of states at the Fermi level is 15.2 states/eV per cell. The formation enthalpy at 0 K is -0.187 eV per atom. Its energy is -125.8 eV for the cell shown.

Cell: 7.509 7.509 6.857 Å, 90.00 90.00 141.15°
Element x y z (fractional)
Ta  0.095  0.905  0.901
Ta  0.405  0.595  0.401
Ta  0.595  0.405  0.599
Ta  0.905  0.095  0.099
Ga  0.000  0.000  0.500
Ga  0.011  0.489  0.750
Ga  0.489  0.011  0.250
Ga  0.500  0.500  0.000
Ga  0.511  0.989  0.750
Ga  0.989  0.511  0.250
Co  0.168  0.832  0.515
Co  0.183  0.317  0.750
Co  0.317  0.183  0.250
Co  0.332  0.668  0.015
Co  0.668  0.332  0.985
Co  0.683  0.817  0.750
Co  0.817  0.683  0.250
Co  0.832  0.168  0.485